# 1
A plane-wave DFT calculation with SCAN was carried out for SrCa2Y at its PBEsol-relaxed geometry.

Output
The formation enthalpy at 0 K comes out at 0.64 eV/f.u.

a b c (Å): 4.173 6.084 6.084
angles (deg): 90.00 90.00 90.00
Site moments in Bohr magnetons follow the coordinates.
Fractional positions:
1 Y 0.500 0.000 0.000  -0.20
2 Ca 0.000 0.000 0.500  -0.02
3 Ca 0.000 0.500 0.000  -0.02
4 Sr 0.500 0.500 0.500  0.01



# 2
A plane-wave DFT calculation with SCAN was carried out for SrCa4Y at its PBEsol-relaxed geometry.

Output
The formation enthalpy at 0 K comes out at 1.16 eV/f.u.

a b c (Å): 7.063 7.063 7.063
angles (deg): 60.00 60.00 60.00
Site moments in Bohr magnetons follow the coordinates.
Fractional positions:
1 Sr 0.750 0.750 0.750  -0.01
2 Ca 0.374 0.374 0.878  0.02
3 Ca 0.374 0.374 0.374  0.02
4 Ca 0.374 0.878 0.374  0.02
5 Ca 0.878 0.374 0.374  0.02
6 Y 0.000 0.000 0.000  0.33



# 3
A plane-wave DFT calculation with SCAN was carried out for SrCa2Y at its PBEsol-relaxed geometry.

Output
The formation enthalpy at 0 K comes out at 0.75 eV/f.u.

a b c (Å): 6.022 6.022 6.022
angles (deg): 60.00 60.00 60.00
Fractional positions:
1 Ca 0.000 0.000 0.000
2 Ca 0.750 0.750 0.750
3 Y 0.250 0.250 0.250
4 Sr 0.500 0.500 0.500



> formation enthalpy at 0 K of number 3 (SrCa2Y)?

0.75 eV/f.u.